<1>
VASP calculation (PBE) on a geometry-optimized RbCrC3 structure.

a b c (Å): 4.299 4.299 4.299
angles (deg): 90.00 90.00 90.00
Space group Pm-3m (No. 221)
Inequivalent atoms, fractional coordinates:
Rb1 0.000 0.000 0.000 [1 per cell]
Cr1 0.500 0.500 0.500 [1 per cell]
C1 0.000 0.000 0.500 [3 per cell]

---

<2>
VASP calculation (PBE) on a geometry-optimized RbCrC3 structure.

a b c (Å): 3.995 3.995 3.995
angles (deg): 90.00 90.00 90.00
Space group Pm-3m (No. 221)
Inequivalent atoms, fractional coordinates:
Rb1 0.000 0.000 0.000 [1 per cell]
Cr1 0.500 0.500 0.500 [1 per cell]
C1 0.000 0.500 0.500 [3 per cell]

---

Least stable of them? <1>.

---

<1>
VASP calculation (PBE) on a geometry-optimized CrReC3 structure.

a b c (Å): 3.975 3.975 3.975
angles (deg): 90.00 90.00 90.00
Space group Pm-3m (No. 221)
Inequivalent atoms, fractional coordinates:
Cr1 0.000 0.000 0.000 [1 per cell]
Re1 0.500 0.500 0.500 [1 per cell]
C1 0.000 0.500 0.500 [3 per cell]

---

<2>
VASP calculation (PBE) on a geometry-optimized CrReC3 structure.

a b c (Å): 3.726 3.726 3.726
angles (deg): 90.00 90.00 90.00
Space group Pm-3m (No. 221)
Inequivalent atoms, fractional coordinates:
Cr1 0.000 0.000 0.000 [1 per cell]
Re1 0.500 0.500 0.500 [1 per cell]
C1 0.000 0.000 0.500 [3 per cell]

---

Least stable of them? <2>.

---

<1>
VASP calculation (PBE) on a geometry-optimized CrSn2RhC structure.

a b c (Å): 5.061 5.061 3.686
angles (deg): 90.00 90.00 90.00
Space group P4/mmm (No. 123)
Inequivalent atoms, fractional coordinates:
Cr1 0.000 0.000 0.000 [1 per cell]
Sn1 0.000 0.500 0.000 [2 per cell]
Rh1 0.500 0.500 0.500 [1 per cell]
C1 0.000 0.000 0.500 [1 per cell]

---

<2>
VASP calculation (PBE) on a geometry-optimized CrSn2RhC structure.

a b c (Å): 4.691 4.691 3.807
angles (deg): 90.00 90.00 90.00
Space group P4/mmm (No. 123)
Inequivalent atoms, fractional coordinates:
Cr1 0.000 0.000 0.000 [1 per cell]
Sn1 0.000 0.500 0.500 [2 per cell]
Rh1 0.500 0.500 0.000 [1 per cell]
C1 0.000 0.000 0.500 [1 per cell]

---

Least stable of them? <1>.

---

<1>
VASP calculation (PBE) on a geometry-optimized Cr2TcRhC structure.

a b c (Å): 3.889 3.889 3.990
angles (deg): 90.00 90.00 90.00
Space group P4/mmm (No. 123)
Inequivalent atoms, fractional coordinates:
Cr1 0.000 0.500 0.000 [2 per cell]
Tc1 0.000 0.000 0.500 [1 per cell]
Rh1 0.500 0.500 0.500 [1 per cell]
C1 0.000 0.000 0.000 [1 per cell]

---

<2>
VASP calculation (PBE) on a geometry-optimized Cr2TcRhC structure.

a b c (Å): 3.898 3.898 3.931
angles (deg): 90.00 90.00 90.00
Space group P4/mmm (No. 123)
Inequivalent atoms, fractional coordinates:
Cr1 0.000 0.500 0.000 [2 per cell]
Tc1 0.000 0.000 0.500 [1 per cell]
Rh1 0.500 0.500 0.500 [1 per cell]
C1 0.500 0.500 0.000 [1 per cell]

---

Least stable of them? <2>.